This record from Alexandria describes Tb5NdEr2 after structural relaxation. The functional is PBE-GGA.

Lattice parameters (Å, degrees): 5.0248 7.1293 14.2593 90.00 90.00 90.00
Element x y z (fractional)
1 Tb 0.0000 0.4987 0.7491
2 Tb 0.0000 0.0000 0.0000
3 Tb 0.0000 0.5000 0.5000
4 Tb 0.5000 0.7516 0.1259
5 Tb 0.0000 0.9987 0.7509
6 Tb 0.5000 0.2516 0.3741
7 Nd 0.0000 0.5000 0.0000
8 Tb 0.5000 0.7484 0.6259
9 Er 0.5000 0.2497 0.6256
10 Tb 0.5000 0.2484 0.8741
11 Er 0.5000 0.7503 0.3744
12 Tb 0.0000 0.5013 0.2509
13 Tb 0.0000 0.0013 0.2491
14 Er 0.5000 0.7497 0.8744
15 Nd 0.0000 0.0000 0.5000
16 Er 0.5000 0.2503 0.1257

Its space group is No. 55. As for the calculated density: 8.28 g/cm³. As for the energy of formation: 0.016 eV/atom.



This record from Alexandria describes TlPbN3 after structural relaxation. The functional is PBE-GGA.

Lattice parameters (Å, degrees): 4.3858 4.3858 4.3858 90.00 90.00 90.00
Element x y z (fractional)
1 N 0.0000 0.5000 0.0000
2 Tl 0.0000 0.0000 0.0000
3 N 0.0000 0.0000 0.5000
4 Pb 0.5000 0.5000 0.5000
5 N 0.5000 0.0000 0.0000

Its space group is No. 221. The formation energy from raw total energies is 2.069 eV/atom. As for the calculated density: 8.93 g/cm³.



This record from Alexandria describes NdGdPb after structural relaxation. The functional is PBE-GGA.

Lattice parameters (Å, degrees): 3.8446 5.3408 5.3408 120.00 90.00 90.00
Element x y z (fractional)
1 Pb 0.6397 0.6667 0.3333
2 Nd 0.9561 0.0000 0.0000
3 Gd 0.4042 0.3333 0.6667

Its energy above the most stable polymorph in this dataset is 0.34 eV/f.u. Its space group is No. 156. As for the calculated density: 8.89 g/cm³. As for the energy of formation: -0.241 eV/atom.



This record from Alexandria describes TaNbOs after structural relaxation. The functional is PBE-GGA.

Lattice parameters (Å, degrees): 4.5440 4.5481 5.5910 89.99 90.00 60.03
Element x y z (fractional)
1 Nb 0.9485 0.7645 0.6419
2 Nb 0.2812 0.0992 0.8077
3 Os 0.9501 0.7615 0.1445
4 Os 0.6154 0.4307 0.4722
5 Ta 0.2829 0.0958 0.3076
6 Ta 0.6168 0.4282 0.9767

Its energy above the most stable polymorph in this dataset is 0.00 eV/f.u. Its space group is No. 8. As for the calculated density: 15.40 g/cm³. As for the energy of formation: -0.322 eV/atom.



This record from Alexandria describes FeCoNi2 after structural relaxation. The functional is PBE-GGA.

Lattice parameters (Å, degrees): 2.4465 4.0032 9.2787 90.00 97.58 90.00
Element x y z (fractional)
1 Fe 0.5957 0.2500 0.1914
2 Ni 0.1568 0.7500 0.3136
3 Ni 0.9686 0.2500 0.9372
4 Ni 0.8432 0.2500 0.6864
5 Co 0.7729 0.7500 0.5459
6 Ni 0.0314 0.7500 0.0628
7 Fe 0.4043 0.7500 0.8086
8 Co 0.2271 0.2500 0.4541

Its space group is No. 63. As for the calculated density: 8.56 g/cm³. As for the energy of formation: 0.055 eV/atom.



This record from Alexandria describes Ca3YCu after structural relaxation. The functional is PBE-GGA.

Lattice parameters (Å, degrees): 6.1751 6.1751 6.1751 90.00 90.00 90.00
Element x y z (fractional)
1 Y 0.0000 0.0000 0.0000
2 Ca 0.0000 0.0000 0.5000
3 Ca 0.0000 0.5000 0.0000
4 Cu 0.5000 0.5000 0.5000
5 Ca 0.5000 0.0000 0.0000

Its energy above the most stable polymorph in this dataset is 5.09 eV/f.u. Its space group is No. 221. As for the calculated density: 1.92 g/cm³. As for the energy of formation: 1.183 eV/atom.



This record from Alexandria describes YErSc2Hg4 after structural relaxation. The functional is PBE-GGA.

Lattice parameters (Å, degrees): 5.1185 5.1185 8.8680 73.23 73.23 60.00
Element x y z (fractional)
1 Sc 0.7501 0.7501 0.7496
2 Hg 0.3759 0.3759 0.8724
3 Hg 0.6241 0.6241 0.1276
4 Hg 0.8741 0.8741 0.3776
5 Er 0.5000 0.5000 0.5000
6 Y 0.0000 0.0000 0.0000
7 Sc 0.2499 0.2499 0.2504
8 Hg 0.1259 0.1259 0.6224

Its space group is No. 166. As for the calculated density: 10.05 g/cm³. As for the energy of formation: -0.454 eV/atom.



Question: Among the records above, which one has the highest calculated density?
Answer: TaNbOs



What did the second record say?
This record from Alexandria describes TlPbN3 after structural relaxation. The functional is PBE-GGA.

Lattice parameters (Å, degrees): 4.3858 4.3858 4.3858 90.00 90.00 90.00
Element x y z (fractional)
1 N 0.0000 0.5000 0.0000
2 Tl 0.0000 0.0000 0.0000
3 N 0.0000 0.0000 0.5000
4 Pb 0.5000 0.5000 0.5000
5 N 0.5000 0.0000 0.0000

Its space group is No. 221. The formation energy from raw total energies is 2.069 eV/atom. As for the calculated density: 8.93 g/cm³.